Below is a relaxed structure of PmHoAgRh, with properties calculated at the PBE-GGA level.

abc: 5.042 5.042 5.042
angles: 60.00 60.00 60.00
Fractional coordinates of all 4 atoms:
Pm 0.000 0.000 0.000
Ho 0.500 0.500 0.500
Ag 0.250 0.250 0.250
Rh 0.750 0.750 0.750

Output
symmetry = No. 216
energy of formation = -0.521 eV/atom
DOS(E_F) = 0.87 states/eV per atom
ΔE to the lowest computed polymorph = 28 meV/atom